Record 1
The following is a PBE calculation of a relaxed structure of KSeCl2, from Alexandria via LeMat-Bulk.

Results
Raw formation energy (meV/atom): -609
Crystal system: tetragonal
Fermi-level density of states (states/eV/cell): 3.4
Space group: P4mm (99)

Cell lengths 3.966, 3.966, 7.587 Å; angles 90.00, 90.00, 90.03 degrees
Site moments in Bohr magnetons follow the coordinates.
Fractional positions:
Se 0.500 0.500 0.871  0.25
Cl 0.000 0.000 0.872  0.03
Cl 0.500 0.500 0.317  0.09
K 0.000 0.000 0.440  0.00

=====

Record 2
The following is a PBE calculation of a relaxed structure of CaZn, from Alexandria via LeMat-Bulk.

Results
Crystal system: hexagonal
Fermi-level density of states (states/eV/cell): 6.8
Calculated formation energy (meV/atom): -193
Space group: P6_3/mmc (194)

Cell lengths 4.365, 4.365, 14.186 Å; angles 90.00, 90.00, 120.00 degrees
Fractional positions:
Zn 0.667 0.333 0.250
Zn 0.000 0.000 0.750
Zn 0.000 0.000 0.250
Zn 0.333 0.667 0.750
Ca 0.333 0.667 0.114
Ca 0.333 0.667 0.386
Ca 0.667 0.333 0.614
Ca 0.667 0.333 0.886

=====

Record 3
The following is a PBE calculation of a relaxed structure of NaAc2Ge, from Alexandria via LeMat-Bulk.

Results
Crystal system: triclinic
Fermi-level density of states (states/eV/cell): 9.0
Calculated formation energy (meV/atom): -230
Space group: P1 (1)

Cell lengths 4.338, 7.850, 10.315 Å; angles 83.29, 102.25, 89.98 degrees
Fractional positions:
Na 0.041 0.419 0.071
Na 0.038 0.918 0.071
Ac 0.621 0.220 0.749
Ac 0.146 0.720 0.749
Ac 0.466 0.618 0.393
Ac 0.941 0.117 0.393
Ge 0.544 0.919 0.571
Ge 0.043 0.419 0.571

=====

Record 4
The following is a PBE calculation of a relaxed structure of PmSm2Tl, from Alexandria via LeMat-Bulk.

Results
Crystal system: trigonal
Fermi-level density of states (states/eV/cell): 5.5
Calculated formation energy (meV/atom): -102
Space group: R3m (160)

Cell lengths 3.727, 3.727, 11.125 Å; angles 80.36, 80.36, 60.00 degrees
Fractional positions:
Tl 0.667 0.667 0.000
Sm 0.077 0.077 0.769
Sm 0.256 0.256 0.231
Pm 0.500 0.500 0.500

=====

Record 5
The following is a PBE calculation of a relaxed structure of BeAl3Si, from Alexandria via LeMat-Bulk.

Results
Raw formation energy (meV/atom): 960
Crystal system: cubic
Fermi-level density of states (states/eV/cell): 3.3
Space group: Pm-3m (221)

Cell lengths 4.748, 4.748, 4.748 Å; angles 90.00, 90.00, 90.00 degrees
Fractional positions:
Al 0.000 0.000 0.500
Al 0.000 0.500 0.000
Al 0.500 0.000 0.000
Si 0.000 0.000 0.000
Be 0.500 0.500 0.500

=====

Record 6
The following is a PBE calculation of a relaxed structure of BaZrSc2Ru, from Alexandria via LeMat-Bulk.

Results
Crystal system: tetragonal
Fermi-level density of states (states/eV/cell): 9.1
Calculated formation energy (meV/atom): 1453
Space group: P4/mmm (123)

Cell lengths 5.088, 5.880, 5.088 Å; angles 90.00, 90.00, 90.00 degrees
Site moments in Bohr magnetons follow the coordinates.
Fractional positions:
Ru 0.500 0.500 0.500  1.92
Ba 0.000 0.500 0.000  0.00
Sc 0.000 0.000 0.500  -0.01
Sc 0.500 0.000 0.000  -0.01
Zr 0.000 0.000 0.000  0.18